Entry 1:
The following is a DFT calculation (PBE) of crystalline Tb3Y4Th2 at its relaxed geometry.

Cell and atoms, written as extended XYZ:
```
9
Lattice="3.582 0.000 0.000 -1.791 7.745 0.024 0.000 2.431 10.434" Properties=species:S:1:pos:R:3 pbc="T T T"
Y 0.000 1.704 6.952
Y 0.000 7.283 9.292
Y 1.791 2.892 1.166
Y 1.791 8.471 3.507
Tb 1.791 3.721 4.616
Tb 0.000 6.454 5.842
Tb 0.000 0.000 0.000
Th 1.791 4.467 8.126
Th 0.000 5.708 2.332
```

- DFT formation energy: 0.0250 eV per atom
- Theoretical density: 7.4 g cm⁻³
- Magnetization: 0.0 μB per cell



Entry 2:
The following is a DFT calculation (PBE) of crystalline BaCd3Sn3 at its relaxed geometry.

Cell and atoms, written as extended XYZ:
```
14
Lattice="-5.696 -1.910 -4.179 -5.119 -4.518 2.635 -8.268 4.954 2.597" Properties=species:S:1:pos:R:3 pbc="T T T"
Cd -9.313 1.125 -1.364
Cd -9.770 -2.600 2.417
Cd -10.731 -1.398 -1.764
Cd -12.032 -1.629 0.843
Cd -8.352 -0.077 2.817
Cd -7.051 0.154 0.211
Sn -7.497 -1.406 -2.303
Sn -10.314 -4.062 -0.466
Sn -11.586 -0.070 3.357
Sn -12.217 1.278 -0.662
Sn -6.866 -2.753 1.715
Sn -8.769 2.587 1.520
Ba -15.128 0.135 1.334
Ba -3.955 -1.610 -0.281
```

- DFT formation energy: -0.1737 eV per atom
- Theoretical density: 6.6 g cm⁻³
- Magnetization: 0.0 μB per cell



Entry 3:
The following is a DFT calculation (PBE) of crystalline Si4IrRu at its relaxed geometry.

Cell and atoms, written as extended XYZ:
```
6
Lattice="0.000 3.421 3.421 3.421 0.000 3.421 3.421 3.421 0.000" Properties=species:S:1:pos:R:3 pbc="T T T"
Si 2.565 2.565 2.565
Si 4.277 4.277 2.565
Si 4.277 2.565 4.277
Si 2.565 4.277 4.277
Ru 0.000 0.000 0.000
Ir 5.132 5.132 5.132
```

- Theoretical density: 8.4 g cm⁻³
- Final energy: -37.0 eV per cell
- Magnetization: 0.0 μB per cell



Entry 4:
The following is a DFT calculation (PBE) of crystalline DyHoZr at its relaxed geometry.

Cell and atoms, written as extended XYZ:
```
3
Lattice="3.381 0.000 0.000 0.000 5.347 0.000 0.000 -2.673 4.630" Properties=species:S:1:pos:R:3 pbc="T T T"
Zr 0.565 0.000 3.087
Ho 2.254 2.673 1.543
Dy 0.562 0.000 0.000
```

- DFT formation energy: 0.1226 eV per atom
- Theoretical density: 8.3 g cm⁻³
- Magnetization: 0.7 μB per cell



Entry 5:
The following is a DFT calculation (PBE) of crystalline La2YCuAg at its relaxed geometry.

Cell and atoms, written as extended XYZ:
```
5
Lattice="5.561 0.000 0.000 0.000 4.953 0.000 0.000 0.000 5.561" Properties=species:S:1:pos:R:3 pbc="T T T"
Ag 0.000 2.477 0.000
La 0.000 0.000 2.781
La 2.781 0.000 0.000
Cu 0.000 0.000 0.000
Y 2.781 2.477 2.781
```

- DFT formation energy: 0.2033 eV per atom
- Theoretical density: 5.8 g cm⁻³
- Magnetization: 0.6 μB per cell



Entry 6:
The following is a DFT calculation (PBE) of crystalline YAl2Ni at its relaxed geometry.

Cell and atoms, written as extended XYZ:
```
4
Lattice="-0.207 3.740 -4.259 0.897 0.016 -5.600 -3.040 0.799 -4.721" Properties=species:S:1:pos:R:3 pbc="T T T"
Ni -0.588 1.139 -3.645
Al -2.249 4.360 -13.956
Al -1.276 2.473 -7.915
Y -1.763 3.417 -10.935
```

- DFT formation energy: -0.5195 eV per atom
- Theoretical density: 4.4 g cm⁻³
- Magnetization: 0.0 μB per cell